*1*
Material: KAg2Au2
Method: DFT, PBE-GGA
State: optimized geometry

extended XYZ file:
```
10
Lattice="8.548 0.000 0.000 0.000 8.548 0.000 0.000 0.000 2.936" Properties=species:S:1:pos:R:3 pbc="T T T"
K 4.274 4.274 0.000
Au 5.316 1.042 0.000
Au 1.042 3.232 0.000
Ag 2.792 1.482 1.468
K 0.000 0.000 0.000
Au 7.506 5.316 0.000
Ag 1.482 5.756 1.468
Ag 5.756 7.066 1.468
Ag 7.066 2.792 1.468
Au 3.232 7.506 0.000
```

- Calculated volume: 107.3 Å³/f.u.



*2*
Material: KAg2Au2
Method: DFT, PBE-GGA
State: optimized geometry

extended XYZ file:
```
10
Lattice="-3.142 2.061 2.025 -2.877 -1.963 -2.467 2.220 -9.727 8.846" Properties=species:S:1:pos:R:3 pbc="T T T"
Ag -1.439 -0.982 -1.233
Ag -3.517 -6.177 5.327
Au -3.683 -8.211 7.139
K -3.209 -2.400 1.962
Au -0.116 -1.419 1.265
Ag -0.282 -3.453 3.077
Ag -1.571 1.030 1.012
Au -1.966 -3.809 5.325
Au -1.833 -5.821 3.079
K -0.590 -7.229 6.442
```

- Calculated volume: 118.3 Å³/f.u.



Energies relative to the most stable structure, in eV/atom: *1* 0.000; *2* 0.056.



*1*
Material: KRbAgAu
Method: DFT, PBE-GGA
State: optimized geometry

extended XYZ file:
```
4
Lattice="-5.556 -1.804 0.356 -2.378 -3.038 -4.401 -1.191 -5.689 0.680" Properties=species:S:1:pos:R:3 pbc="T T T"
K 0.000 0.000 0.000
Au -6.844 -7.898 -2.523
Rb -4.563 -5.266 -1.682
Ag -2.281 -2.633 -0.841
```

- Calculated volume: 141.7 Å³/f.u.



*2*
Material: KRbAgAu
Method: DFT, PBE-GGA
State: optimized geometry

extended XYZ file:
```
4
Lattice="4.873 0.000 0.000 2.437 4.220 0.000 2.437 1.407 8.349" Properties=species:S:1:pos:R:3 pbc="T T T"
Au 4.873 2.813 5.646
K 2.437 1.407 7.652
Ag 7.310 4.220 5.653
Rb 2.437 1.407 3.405
```

- Calculated volume: 171.7 Å³/f.u.



Energies relative to the most stable structure, in eV/atom: *1* 0.051; *2* 0.000.



*1*
Material: KTl2AgAu
Method: DFT, PBE-GGA
State: optimized geometry

extended XYZ file:
```
5
Lattice="-0.503 -3.378 4.402 -2.471 -3.821 -3.215 4.861 -2.195 -1.129" Properties=species:S:1:pos:R:3 pbc="T T T"
Au 0.000 0.000 0.000
K 0.943 -4.697 0.029
Tl -1.236 -1.910 -1.607
Ag 2.430 -1.097 -0.564
Tl -0.252 -1.689 2.201
```

- Calculated volume: 169.2 Å³/f.u.



*2*
Material: KTl2AgAu
Method: DFT, PBE-GGA
State: optimized geometry

extended XYZ file:
```
5
Lattice="5.528 0.000 0.000 0.000 5.528 0.000 0.000 0.000 5.427" Properties=species:S:1:pos:R:3 pbc="T T T"
Au 0.000 0.000 2.714
K 2.764 2.764 2.714
Tl 2.764 0.000 0.000
Ag 0.000 0.000 0.000
Tl 0.000 2.764 0.000
```

- Calculated volume: 165.9 Å³/f.u.



Energies relative to the most stable structure, in eV/atom: *1* 0.000; *2* 0.037.



*1*
Material: La2Ag2Au
Method: DFT, PBE-GGA
State: optimized geometry

extended XYZ file:
```
10
Lattice="-4.784 -4.072 -5.413 4.977 -6.609 0.573 -2.339 -1.485 3.185" Properties=species:S:1:pos:R:3 pbc="T T T"
La 2.552 -6.828 -1.310
La 0.827 -2.873 -0.732
La -2.360 -3.854 -3.530
Ag -2.352 -3.093 -0.372
Ag 0.205 -9.073 -1.282
Au 0.096 -5.341 -2.420
Ag -3.490 -6.796 -2.934
Ag 1.342 -5.370 1.279
Au 0.000 0.000 0.000
La -0.635 -7.808 -4.108
```

- Calculated volume: 145.2 Å³/f.u.



*2*
Material: La2Ag2Au
Method: DFT, PBE-GGA
State: optimized geometry

extended XYZ file:
```
10
Lattice="-3.179 1.339 -2.565 -5.180 -2.309 1.613 -2.593 10.097 4.881" Properties=species:S:1:pos:R:3 pbc="T T T"
La -6.580 9.601 2.359
La -4.671 3.582 0.454
La -6.282 5.545 3.476
Ag -2.335 1.152 -0.107
Ag -8.618 7.975 4.037
La -4.373 -0.474 1.570
Ag -3.051 5.065 2.823
Au -6.709 1.621 1.957
Au -4.244 7.506 1.972
Ag -7.902 4.062 1.107
```

- Calculated volume: 132.7 Å³/f.u.



Energies relative to the most stable structure, in eV/atom: *1* 0.238; *2* 0.000.



*1*
Material: La2Ag2Au
Method: DFT, PBE-GGA
State: optimized geometry

extended XYZ file:
```
10
Lattice="7.920 0.000 0.000 0.000 7.920 0.000 0.000 0.000 4.185" Properties=species:S:1:pos:R:3 pbc="T T T"
La 2.547 1.413 2.093
La 6.507 2.547 2.093
Ag 6.934 4.947 0.000
Au 0.000 0.000 0.000
Au 3.960 3.960 0.000
Ag 0.987 2.973 0.000
Ag 2.973 6.934 0.000
La 1.413 5.374 2.093
La 5.374 6.507 2.093
Ag 4.947 0.987 0.000
```

- Calculated volume: 131.3 Å³/f.u.



*2*
Material: La2Ag2Au
Method: DFT, PBE-GGA
State: optimized geometry

extended XYZ file:
```
5
Lattice="-3.439 1.710 0.319 -2.012 -3.831 -1.157 0.672 -0.122 7.903" Properties=species:S:1:pos:R:3 pbc="T T T"
Ag -2.727 -1.066 -0.399
Ag -1.927 -0.406 4.695
La -1.294 -3.671 5.734
La -1.130 -2.673 2.145
Au -1.796 0.390 1.833
```

- Calculated volume: 131.4 Å³/f.u.



*3*
Material: La2Ag2Au
Method: DFT, PBE-GGA
State: optimized geometry

extended XYZ file:
```
5
Lattice="5.914 0.000 0.000 0.000 5.914 0.000 2.957 2.957 4.041" Properties=species:S:1:pos:R:3 pbc="T T T"
Ag 2.957 2.957 1.273
Au 0.000 0.000 0.000
La 2.957 5.914 2.021
La 5.914 2.957 2.021
Ag 5.914 5.914 2.768
```

- Calculated volume: 141.3 Å³/f.u.



Energies relative to the most stable structure, in eV/atom: *1* 0.082; *2* 0.000; *3* 0.284.



*1*
Material: LaAgAu2
Method: DFT, PBE-GGA
State: optimized geometry

extended XYZ file:
```
4
Lattice="-3.833 -3.310 0.114 -3.961 0.816 3.050 -4.494 1.261 -1.967" Properties=species:S:1:pos:R:3 pbc="T T T"
Ag 0.000 0.000 0.000
Au -3.072 -0.308 0.299
Au -9.216 -0.925 0.898
La -6.144 -0.616 0.598
```

- Calculated volume: 91.9 Å³/f.u.



*2*
Material: LaAgAu2
Method: DFT, PBE-GGA
State: optimized geometry

extended XYZ file:
```
4
Lattice="-2.310 -0.394 -3.891 2.938 -2.048 -1.537 -0.775 -5.593 1.026" Properties=species:S:1:pos:R:3 pbc="T T T"
Au -1.217 -1.830 -1.743
Au -0.157 -5.841 0.684
La 1.052 -3.377 -0.283
Ag 0.483 -6.401 -2.290
```

- Calculated volume: 95.6 Å³/f.u.



*3*
Material: LaAgAu2
Method: DFT, PBE-GGA
State: optimized geometry

extended XYZ file:
```
8
Lattice="4.712 0.000 0.000 0.000 4.712 0.000 2.356 2.356 9.457" Properties=species:S:1:pos:R:3 pbc="T T T"
Ag 2.356 4.712 4.729
La 4.712 2.356 4.729
La 0.000 0.000 0.000
Au 3.162 1.178 2.364
Au 5.890 5.518 7.093
Au 3.534 3.906 7.093
Au 1.550 3.534 2.364
Ag 2.356 2.356 0.000
```

- Calculated volume: 105.0 Å³/f.u.



Energies relative to the most stable structure, in eV/atom: *1* 0.000; *2* 0.134; *3* 0.351.